{
  "formula": "VBOF2",
  "functional": "PBE with a Hubbard U",
  "state": "relaxed",
  "lattice": [[4.374, 0.000, 0.000], [0.000, 4.374, 0.000], [0.000, 0.000, 2.682]],
  "species": ["F", "F", "B", "O", "V"],
  "frac_coords": [[0.500, 0.000, 0.000], [0.000, 0.500, 0.000], [0.000, 0.000, 0.000], [0.000, 0.000, 0.500], [0.500, 0.500, 0.500]],
  "energy_ha_per_atom": -0.21284,
  "de_polymorph_ev_per_atom": 0.000
}